Density functional theory data (GGA-PBE) for an optimized crystal structure of Y5Tl6Pb. Values from VASP.

Quantum ESPRESSO input file:
```
&SYSTEM
  ibrav = 0, nat = 12, ntyp = 3
/
ATOMIC_SPECIES
Y 88.91 Y.upf
Pb 207.20 Pb.upf
Tl 204.38 Tl.upf
CELL_PARAMETERS angstrom
4.703 0.004 -1.447
-0.984 8.335 -3.176
0.190 -1.387 8.979
ATOMIC_POSITIONS crystal
Y 0.357 0.857 0.714
Y 0.675 0.675 0.351
Y 0.000 0.500 0.000
Y 0.325 0.325 0.649
Y 0.643 0.143 0.286
Pb 0.000 0.000 0.000
Tl 0.171 0.430 0.343
Tl 0.171 0.912 0.343
Tl 0.500 0.273 0.000
Tl 0.500 0.727 0.000
Tl 0.829 0.088 0.657
Tl 0.829 0.570 0.657
```

***

! GGA-PBE BeAgAs2Br, optimized geometry; values from VASP
! formation energy from raw total energies: 1.187 eV/atom
&SYSTEM
  ibrav = 0, nat = 5, ntyp = 4
/
ATOMIC_SPECIES
Be 9.01 Be.upf
As 74.92 As.upf
Br 79.90 Br.upf
Ag 107.87 Ag.upf
CELL_PARAMETERS angstrom
5.025 0.000 0.000
0.000 5.025 0.000
0.000 0.000 5.330
ATOMIC_POSITIONS crystal
Be 0.500 0.500 0.500
As 0.000 0.500 0.000
As 0.500 0.000 0.000
Br 0.000 0.000 0.500
Ag 0.000 0.000 0.000

***

| no. | DFT total energy (eV/atom) | total magnetization (Bohr magnetons per cell) |
| --- | --- | --- |
| 1 | -4.51 | 0.00 |
| 2 | -2.32 | 1.12 |